FeNi3O: optimized geometry, GGA+U.

Calculated values
* distance to the lowest polymorph of the same formula: 0.0000 eV per atom
* spin magnetization: 1.196 μB/atom
* density of states at the Fermi level: 4.69 states/eV per cell

CIF file:
```
data_FeNi3O
_symmetry_space_group_name_H-M 'P m -3 m'
_symmetry_Int_Tables_number 221
_symmetry_space_group_name_Hall '-P 4 2 3'
_cell_length_a 3.923
_cell_length_b 3.923
_cell_length_c 3.923
_cell_angle_alpha 90.00
_cell_angle_beta 90.00
_cell_angle_gamma 90.00
loop_
_atom_site_label
_atom_site_fract_x
_atom_site_fract_y
_atom_site_fract_z
Fe1 0.000 0.000 0.000
Ni1 0.000 0.500 0.500
O1 0.500 0.500 0.500
```